(1)
An optimized crystal structure of HgOsPt. Source: Alexandria, functional PBE-GGA.

E above lowest polymorph in eV per atom: 0.232
DFT total energy in Ha/atom: -0.18976
Symmetry: P-6m2
Total magnetic moment in μB per cell: 0.00
Energy of formation from the pure elements in eV/atom: 0.694

The structure in POSCAR format:
```
HgOsPt
1.0
4.6224 0.0000 0.0000
-2.3112 4.0031 0.0000
0.0000 0.0000 2.7662
Hg Os Pt
1 1 1
Direct
0.0000 0.0000 0.0000
0.6667 0.3333 0.5000
0.3333 0.6667 0.5000
```

(2)
An optimized crystal structure of HgOsPt2. Source: Alexandria, functional PBE-GGA.

DFT total energy in Ha/atom: -0.20501
Symmetry: P4mm
Total magnetic moment in μB per cell: 0.00
Energy of formation from the pure elements in eV/atom: 0.325

The structure in POSCAR format:
```
HgOsPt2
1.0
2.8456 0.0000 0.0000
0.0000 2.8456 0.0000
0.0000 0.0000 8.1789
Hg Os Pt
1 1 2
Direct
0.0000 0.0000 0.0000
0.5000 0.5000 0.2701
0.0000 0.0000 0.4846
0.5000 0.5000 0.7298
```

(3)
An optimized crystal structure of HgOsPt2. Source: Alexandria, functional PBE-GGA.

DFT total energy in Ha/atom: -0.20240
Symmetry: Imm2
Total magnetic moment in μB per cell: 0.00
Energy of formation from the pure elements in eV/atom: 0.396

The structure in POSCAR format:
```
HgOsPt2
1.0
-1.3850 2.4231 5.0400
1.3850 -2.4231 5.0400
1.3850 2.4231 -5.0400
Hg Os Pt
1 1 2
Direct
0.0000 0.0000 0.0000
0.2587 0.7587 0.5000
0.4792 0.4792 0.0000
0.7270 0.2270 0.5000
```

(4)
An optimized crystal structure of Hg2OsPt. Source: Alexandria, functional PBE-GGA.

E above lowest polymorph in eV per atom: 0.286
DFT total energy in Ha/atom: -0.13655
Symmetry: I-4m2
Total magnetic moment in μB per cell: 1.12
Energy of formation from the pure elements in eV/atom: 0.753

The structure in POSCAR format:
```
Hg2OsPt
1.0
-2.1106 2.1106 4.0164
2.1106 -2.1106 4.0164
2.1106 2.1106 -4.0164
Hg Os Pt
2 1 1
Direct
0.0000 0.0000 0.0000
0.7500 0.2500 0.5000
0.2500 0.7500 0.5000
0.5000 0.5000 0.0000
```

(5)
An optimized crystal structure of HgOsPt2. Source: Alexandria, functional PBE-GGA.

DFT total energy in Ha/atom: -0.19745
Symmetry: P4/mmm
Total magnetic moment in μB per cell: 0.00
Energy of formation from the pure elements in eV/atom: 0.530

The structure in POSCAR format:
```
HgOsPt2
1.0
3.9535 0.0000 0.0000
0.0000 3.9535 0.0000
0.0000 0.0000 4.2100
Hg Os Pt
1 1 2
Direct
0.0000 0.0000 0.0000
0.5000 0.5000 0.0000
0.0000 0.5000 0.5000
0.5000 0.0000 0.5000
```

(6)
An optimized crystal structure of HgOsPt2. Source: Alexandria, functional PBE-GGA.

DFT total energy in Ha/atom: -0.20300
Symmetry: Pmm2
Total magnetic moment in μB per cell: 0.00
Energy of formation from the pure elements in eV/atom: 0.379

The structure in POSCAR format:
```
HgOsPt2
1.0
2.8424 0.0000 0.0000
0.0000 3.8703 0.0000
0.0000 0.0000 6.0806
Hg Os Pt
1 1 2
Direct
0.0000 0.0000 0.0000
0.5000 0.5000 0.2905
0.0000 0.0000 0.4827
0.5000 0.5000 0.7389
```

(7)
An optimized crystal structure of HgOsPt. Source: Alexandria, functional PBE-GGA.

E above lowest polymorph in eV per atom: 0.005
DFT total energy in Ha/atom: -0.19809
Symmetry: I4mm
Total magnetic moment in μB per cell: 0.00
Energy of formation from the pure elements in eV/atom: 0.467

The structure in POSCAR format:
```
HgOsPt
1.0
-1.4237 1.4237 6.2684
1.4237 -1.4237 6.2684
1.4237 1.4237 -6.2684
Hg Os Pt
1 1 1
Direct
0.0000 0.0000 0.0000
0.3238 0.3238 0.0000
0.6830 0.6830 0.0000
```

(8)
An optimized crystal structure of Hg2OsPt. Source: Alexandria, functional PBE-GGA.

E above lowest polymorph in eV per atom: 0.262
DFT total energy in Ha/atom: -0.13743
Symmetry: I4/mmm
Total magnetic moment in μB per cell: 1.06
Energy of formation from the pure elements in eV/atom: 0.729

The structure in POSCAR format:
```
Hg2OsPt
1.0
-2.0955 2.0955 4.0732
2.0955 -2.0955 4.0732
2.0955 2.0955 -4.0732
Hg Os Pt
2 1 1
Direct
0.2500 0.7500 0.5000
0.7500 0.2500 0.5000
0.0000 0.0000 0.0000
0.5000 0.5000 0.0000
```

(9)
An optimized crystal structure of HgOsPt2. Source: Alexandria, functional PBE-GGA.

DFT total energy in Ha/atom: -0.19923
Symmetry: I-4m2
Total magnetic moment in μB per cell: 0.01
Energy of formation from the pure elements in eV/atom: 0.482

The structure in POSCAR format:
```
HgOsPt2
1.0
-2.0504 2.0504 3.9013
2.0504 -2.0504 3.9013
2.0504 2.0504 -3.9013
Hg Os Pt
1 1 2
Direct
0.0000 0.0000 0.0000
0.2500 0.7500 0.5000
0.5000 0.5000 0.0000
0.7500 0.2500 0.5000
```

(10)
An optimized crystal structure of HgOsPt3. Source: Alexandria, functional PBE-GGA.

E above lowest polymorph in eV per atom: 1.076
DFT total energy in Ha/atom: -0.13382
Symmetry: Pm-3m
Total magnetic moment in μB per cell: 3.77
Energy of formation from the pure elements in eV/atom: 2.289

The structure in POSCAR format:
```
HgOsPt3
1.0
4.9410 0.0000 0.0000
0.0000 4.9410 0.0000
0.0000 0.0000 4.9410
Hg Os Pt
1 1 3
Direct
0.0000 0.0000 0.0000
0.5000 0.5000 0.5000
0.0000 0.0000 0.5000
0.0000 0.5000 0.0000
0.5000 0.0000 0.0000
```

(11)
An optimized crystal structure of HgOsPt2. Source: Alexandria, functional PBE-GGA.

DFT total energy in Ha/atom: -0.18938
Symmetry: I-42d
Total magnetic moment in μB per cell: 0.00
Energy of formation from the pure elements in eV/atom: 0.750

The structure in POSCAR format:
```
HgOsPt2
1.0
-1.9768 1.9768 9.2095
1.9768 -1.9768 9.2095
1.9768 1.9768 -9.2095
Hg Os Pt
2 2 4
Direct
0.0000 0.0000 0.0000
0.7500 0.2500 0.5000
0.2500 0.7500 0.5000
0.5000 0.5000 0.0000
0.1449 0.6250 0.0199
0.3750 0.3949 0.5199
0.6051 0.1250 0.9801
0.8750 0.8551 0.4801
```

(12)
An optimized crystal structure of Hg2OsPt. Source: Alexandria, functional PBE-GGA.

E above lowest polymorph in eV per atom: 0.133
DFT total energy in Ha/atom: -0.14219
Symmetry: Cmmm
Total magnetic moment in μB per cell: 0.00
Energy of formation from the pure elements in eV/atom: 0.599

The structure in POSCAR format:
```
Hg2OsPt
1.0
1.4639 -2.5101 0.0000
1.4639 2.5101 0.0000
0.0000 0.0000 9.7406
Hg Os Pt
2 1 1
Direct
0.0000 0.0000 0.2495
0.0000 0.0000 0.7505
0.5000 0.5000 0.0000
0.5000 0.5000 0.5000
```

(13)
An optimized crystal structure of Hg3OsPt. Source: Alexandria, functional PBE-GGA.

DFT total energy in Ha/atom: -0.08288
Symmetry: Pm-3m
Total magnetic moment in μB per cell: 1.60
Energy of formation from the pure elements in eV/atom: 1.380

The structure in POSCAR format:
```
Hg3OsPt
1.0
5.1786 0.0000 0.0000
0.0000 5.1786 0.0000
0.0000 0.0000 5.1786
Hg Os Pt
3 1 1
Direct
0.0000 0.0000 0.5000
0.0000 0.5000 0.0000
0.5000 0.0000 0.0000
0.0000 0.0000 0.0000
0.5000 0.5000 0.5000
```

(14)
An optimized crystal structure of HgOs4Pt. Source: Alexandria, functional PBE-GGA.

DFT total energy in Ha/atom: -0.27804
Symmetry: F-43m
Total magnetic moment in μB per cell: 0.00
Energy of formation from the pure elements in eV/atom: 0.978

The structure in POSCAR format:
```
HgOs4Pt
1.0
0.0000 3.6798 3.6798
3.6798 0.0000 3.6798
3.6798 3.6798 0.0000
Hg Os Pt
1 4 1
Direct
0.0000 0.0000 0.0000
0.3757 0.3757 0.3757
0.3757 0.3757 0.8728
0.3757 0.8728 0.3757
0.8728 0.3757 0.3757
0.7500 0.7500 0.7500
```

(15)
An optimized crystal structure of HgOsPt2. Source: Alexandria, functional PBE-GGA.

DFT total energy in Ha/atom: -0.20561
Symmetry: Pmmm
Total magnetic moment in μB per cell: 0.00
Energy of formation from the pure elements in eV/atom: 0.308

The structure in POSCAR format:
```
HgOsPt2
1.0
2.8313 0.0000 0.0000
0.0000 3.9905 0.0000
0.0000 0.0000 5.8432
Hg Os Pt
1 1 2
Direct
0.0000 0.0000 0.0000
0.0000 0.0000 0.5000
0.5000 0.5000 0.2730
0.5000 0.5000 0.7270
```

(16)
An optimized crystal structure of Hg2OsPt. Source: Alexandria, functional PBE-GGA.

E above lowest polymorph in eV per atom: 0.420
DFT total energy in Ha/atom: -0.13163
Symmetry: I-42d
Total magnetic moment in μB per cell: 3.72
Energy of formation from the pure elements in eV/atom: 0.887

The structure in POSCAR format:
```
Hg2OsPt
1.0
-1.9906 1.9906 9.9438
1.9906 -1.9906 9.9438
1.9906 1.9906 -9.9438
Hg Os Pt
4 2 2
Direct
0.1221 0.6250 0.9971
0.3750 0.3721 0.4971
0.6279 0.1250 0.0029
0.8750 0.8779 0.5029
0.0000 0.0000 0.0000
0.7500 0.2500 0.5000
0.2500 0.7500 0.5000
0.5000 0.5000 0.0000
```

(17)
An optimized crystal structure of Hg2OsPt. Source: Alexandria, functional PBE-GGA.

E above lowest polymorph in eV per atom: 0.174
DFT total energy in Ha/atom: -0.14068
Symmetry: Immm
Total magnetic moment in μB per cell: 0.00
Energy of formation from the pure elements in eV/atom: 0.640

The structure in POSCAR format:
```
Hg2OsPt
1.0
-1.4251 2.5637 4.9203
1.4251 -2.5637 4.9203
1.4251 2.5637 -4.9203
Hg Os Pt
2 1 1
Direct
0.2490 0.2490 0.0000
0.7510 0.7510 0.0000
0.0000 0.5000 0.5000
0.5000 0.0000 0.5000
```

(18)
An optimized crystal structure of HgOsPt2. Source: Alexandria, functional PBE-GGA.

DFT total energy in Ha/atom: -0.21097
Symmetry: P4/mmm
Total magnetic moment in μB per cell: 0.00
Energy of formation from the pure elements in eV/atom: 0.163

The structure in POSCAR format:
```
HgOsPt2
1.0
2.8312 0.0000 0.0000
0.0000 2.8312 0.0000
0.0000 0.0000 8.2684
Hg Os Pt
1 1 2
Direct
0.0000 0.0000 0.0000
0.0000 0.0000 0.5000
0.5000 0.5000 0.2762
0.5000 0.5000 0.7238
```

(19)
An optimized crystal structure of HgOsPt. Source: Alexandria, functional PBE-GGA.

E above lowest polymorph in eV per atom: 0.446
DFT total energy in Ha/atom: -0.18189
Symmetry: F-43m
Total magnetic moment in μB per cell: 2.01
Energy of formation from the pure elements in eV/atom: 0.908

The structure in POSCAR format:
```
HgOsPt
1.0
0.0000 3.1045 3.1045
3.1045 0.0000 3.1045
3.1045 3.1045 0.0000
Hg Os Pt
1 1 1
Direct
0.0000 0.0000 0.0000
0.5000 0.5000 0.5000
0.2500 0.2500 0.2500
```

(20)
An optimized crystal structure of HgOsPt3. Source: Alexandria, functional PBE-GGA.

E above lowest polymorph in eV per atom: 0.000
DFT total energy in Ha/atom: -0.17335
Symmetry: Pm-3m
Total magnetic moment in μB per cell: 0.00
Energy of formation from the pure elements in eV/atom: 1.214

The structure in POSCAR format:
```
HgOsPt3
1.0
4.8549 0.0000 0.0000
0.0000 4.8549 0.0000
0.0000 0.0000 4.8549
Hg Os Pt
1 1 3
Direct
0.0000 0.0000 0.0000
0.5000 0.5000 0.5000
0.0000 0.5000 0.5000
0.5000 0.0000 0.5000
0.5000 0.5000 0.0000
```